1.
# Nd5SmAg6 (PBE-GGA, optimized geometry)
data_Nd5SmAg6
_chemical_formula_sum 'Nd5 Sm1 Ag6'
_cell_length_a 5.3396
_cell_length_b 7.4078
_cell_length_c 8.4378
_cell_angle_alpha 90.01
_cell_angle_beta 71.55
_cell_angle_gamma 90.02
_symmetry_space_group_name_H-M 'P 1'
_symmetry_Int_Tables_number 1
_symmetry_space_group_name_Hall 'P 1'
loop_
_atom_site_label
_atom_site_type_symbol
_atom_site_fract_x
_atom_site_fract_y
_atom_site_fract_z
Ag1 Ag 0.4999 0.7537 0.0000
Ag2 Ag 0.1653 0.7518 0.6695
Ag3 Ag 0.8348 0.7518 0.3305
Ag4 Ag 0.1652 0.2482 0.6695
Ag5 Ag 0.8347 0.2482 0.3305
Ag6 Ag 0.5001 0.2463 0.0000
Nd1 Nd 0.3329 0.5000 0.3342
Nd2 Nd 0.3336 0.0000 0.3327
Nd3 Nd 0.6671 0.5000 0.6658
Nd4 Nd 0.6664 0.0000 0.6673
Nd5 Nd 0.0000 0.5000 0.0000
Sm1 Sm 0.0000 0.0000 0.0000
# E_form   -259.4 meV/atom
# Total moment   0.000 μB per atom
# Energy   -0.2988 Ry/atom
# D(E_F)   10.23 states/eV/f.u.

=====

2.
# Nb2FeHW (PBE-GGA, optimized geometry)
data_Nb2FeHW
_chemical_formula_sum 'Nb2 Fe1 H1 W1'
_cell_length_a 4.4595
_cell_length_b 4.4595
_cell_length_c 3.3283
_cell_angle_alpha 90.00
_cell_angle_beta 90.00
_cell_angle_gamma 90.00
_symmetry_space_group_name_H-M 'P 1'
_symmetry_Int_Tables_number 1
_symmetry_space_group_name_Hall 'P 1'
loop_
_atom_site_label
_atom_site_type_symbol
_atom_site_fract_x
_atom_site_fract_y
_atom_site_fract_z
W1 W 0.5000 0.5000 0.5000
Nb1 Nb 0.0000 0.5000 0.0000
Nb2 Nb 0.5000 0.0000 0.0000
H1 H 0.0000 0.0000 0.0000
Fe1 Fe 0.0000 0.0000 0.5000
# Total moment   0.298 μB per atom
# Energy   -0.6636 Ry/atom
# D(E_F)   2.81 states/eV/f.u.

=====

3.
# LiPmEuHg (PBE-GGA, optimized geometry)
data_LiPmEuHg
_chemical_formula_sum 'Li1 Pm1 Eu1 Hg1'
_cell_length_a 5.4282
_cell_length_b 5.4282
_cell_length_c 5.4282
_cell_angle_alpha 60.00
_cell_angle_beta 60.00
_cell_angle_gamma 60.00
_symmetry_space_group_name_H-M 'P 1'
_symmetry_Int_Tables_number 1
_symmetry_space_group_name_Hall 'P 1'
loop_
_atom_site_label
_atom_site_type_symbol
_atom_site_fract_x
_atom_site_fract_y
_atom_site_fract_z
Pm1 Pm 0.2500 0.2500 0.2500
Hg1 Hg 0.5000 0.5000 0.5000
Li1 Li 0.0000 0.0000 0.0000
Eu1 Eu 0.7500 0.7500 0.7500
# E_form   -215.2 meV/atom
# Total moment   1.778 μB per atom
# Energy   -0.3326 Ry/atom
# D(E_F)   8.17 states/eV/f.u.

=====

Which formula does entry 3 have?
LiPmEuHg

=====

What is the energy in the third record?
-0.3326 Ry/atom